Material: Rb2LiNd2W4O16
Method: DFT, GGA+U
State: relaxed

a = 7.579 Å, b = 7.593 Å, c = 8.115 Å
α = 88.29°, β = 62.63°, γ = 62.46°
Sites, in units of the cell vectors:
1 Rb 0.000 0.000 0.000
2 Rb 0.427 0.472 0.694
3 Li 0.860 0.218 0.369
4 Nd 0.485 0.980 0.049
5 Nd 0.964 0.467 0.640
6 W 0.029 0.910 0.540
7 W 0.441 0.531 0.163
8 W 0.529 0.936 0.525
9 W 0.936 0.534 0.162
10 O 0.011 0.477 0.913
11 O 0.097 0.266 0.186
12 O 0.165 0.597 0.109
13 O 0.206 0.586 0.430
14 O 0.257 0.851 0.256
15 O 0.296 0.861 0.579
16 O 0.349 0.190 0.502
17 O 0.442 0.976 0.779
18 O 0.533 0.265 0.076
19 O 0.588 0.600 0.934
20 O 0.671 0.460 0.230
21 O 0.687 0.825 0.223
22 O 0.772 0.626 0.458
23 O 0.781 0.993 0.460
24 O 0.868 0.845 0.766
25 O 0.915 0.201 0.584

Calculated volume (Å³ per cell): 357.7
Total DFT energy (no corrections) (eV per atom): -7.218
Crystal system: triclinic